Density functional theory data (PBE) for crystalline MgPaFeRh at its relaxed geometry.

CIF file:
```
data_MgPaFeRh
_cell_length_a 6.518
_cell_length_b 6.518
_cell_length_c 6.518
_cell_angle_alpha 90.00
_cell_angle_beta 90.00
_cell_angle_gamma 90.00
_space_group_name_H-M_alt 'F -4 3 m'
_space_group_IT_number 216
_space_group_name_Hall 'F -4 2 3'
loop_
_atom_site_label
_atom_site_type_symbol
_atom_site_fract_x
_atom_site_fract_y
_atom_site_fract_z
Mg1 Mg 0.000 0.000 0.000
Pa1 Pa 0.000 0.000 0.500
Fe1 Fe 0.250 0.250 0.250
Rh1 Rh 0.250 0.250 0.750
```

**Formation energy from the elements**: -267 meV per atom
**Spin magnetization**: 0.004 μB/f.u.
**DOS at the Fermi energy**: 12.612 states/eV per cell
**E_tot**: -6.99 eV/atom
**Calculated density**: 9.9 g cm⁻³
**Volume**: 277.0 Å³/cell